[1]
Material: Na3Ac3SnO8
Method: DFT, PBE-GGA
State: relaxed

Properties
ρ = 6.25 g/cm3
Formation energy from raw total energies = -2349 meV per atom
V = 794.07 Å³/cell
M_tot = 0.0 μB/f.u.

Structure (CIF):
```
data_Na3Ac3SnO8
_chemical_formula_sum 'Na9 Ac9 Sn3 O24'
_cell_length_a 7.4000
_cell_length_b 7.4000
_cell_length_c 16.7443
_cell_angle_alpha 90.00
_cell_angle_beta 90.00
_cell_angle_gamma 120.00
_space_group_name_H-M_alt 'R -3 m'
_space_group_IT_number 166
_space_group_name_Hall '-R 3 2"'
loop_
_atom_site_label
_atom_site_fract_x
_atom_site_fract_y
_atom_site_fract_z
Na1 0.0000 0.5000 0.0000
Ac1 0.0000 0.5000 0.5000
Sn1 0.0000 0.0000 0.5000
O1 0.0000 0.0000 0.2391
O2 0.0460 0.5230 0.2354
```

[2]
Material: NaAcSnO3
Method: DFT, PBE-GGA
State: relaxed

Properties
ρ = 6.24 g/cm3
Formation energy from raw total energies = -2123 meV per atom
V = 221.73 Å³/cell
M_tot = 0.0 μB/f.u.

Structure (CIF):
```
data_NaAcSnO3
_chemical_formula_sum 'Na2 Ac2 Sn2 O6'
_cell_length_a 6.819
_cell_length_b 3.657
_cell_length_c 9.194
_cell_angle_alpha 90.00
_cell_angle_beta 104.74
_cell_angle_gamma 90.00
_space_group_name_H-M_alt 'P 1 21/m 1'
_space_group_IT_number 11
loop_
_space_group_symop_operation_xyz
'x,y,z'
'-x,-y,-z'
'-x,y+1/2,-z'
'x,-y+1/2,z'
loop_
_atom_site_label
_atom_site_fract_x
_atom_site_fract_y
_atom_site_fract_z
Na1 0.032 0.250 0.317
Ac1 0.266 0.250 0.061
Sn1 0.373 0.250 0.620
O1 0.058 0.750 0.143
O2 0.447 0.250 0.374
O3 0.467 0.250 0.860
```

[3]
Material: NaAc2SnO6
Method: DFT, PBE-GGA
State: relaxed

Properties
ρ = 6.87 g/cm3
Formation energy from raw total energies = -2248 meV per atom
V = 167.19 Å³/cell
M_tot = 1.0 μB/f.u.

Structure (CIF):
```
data_NaAc2SnO6
_chemical_formula_sum 'Na1 Ac2 Sn1 O6'
_cell_length_a 5.746
_cell_length_b 5.746
_cell_length_c 5.063
_cell_angle_alpha 90.00
_cell_angle_beta 90.00
_cell_angle_gamma 90.00
_space_group_name_H-M_alt 'P 4 m m'
_space_group_IT_number 99
loop_
_space_group_symop_operation_xyz
'x,y,z'
'-y,x,z'
'-x,-y,z'
'y,-x,z'
'-x,y,z'
'y,x,z'
'x,-y,z'
'-y,-x,z'
loop_
_atom_site_label
_atom_site_fract_x
_atom_site_fract_y
_atom_site_fract_z
Na1 0.000 0.000 0.000
Ac1 0.000 0.500 0.435
Sn1 0.500 0.500 0.023
O1 0.000 0.000 0.552
O2 0.261 0.261 0.150
O3 0.500 0.500 0.627
```

[4]
Material: Na4Ac3SnO8
Method: DFT, PBE-GGA
State: relaxed

Properties
ρ = 6.21 g/cm3
Formation energy from raw total energies = -2200 meV per atom
V = 817.49 Å³/cell
M_tot = 0.0 μB/f.u.

Structure (CIF):
```
data_Na4Ac3SnO8
_chemical_formula_sum 'Na12 Ac9 Sn3 O24'
_cell_length_a 7.4166
_cell_length_b 7.4166
_cell_length_c 17.1620
_cell_angle_alpha 90.00
_cell_angle_beta 90.00
_cell_angle_gamma 120.00
_space_group_name_H-M_alt 'R -3 m'
_space_group_IT_number 166
_space_group_name_Hall '-R 3 2"'
loop_
_atom_site_label
_atom_site_fract_x
_atom_site_fract_y
_atom_site_fract_z
Na1 0.0000 0.0000 0.0000
Na2 0.0000 0.5000 0.0000
Ac1 0.0000 0.5000 0.5000
Sn1 0.0000 0.0000 0.5000
O1 0.0000 0.0000 0.2402
O2 0.0215 0.5108 0.2394
```

[5]
Material: NaAc2SnO5
Method: DFT, PBE-GGA
State: relaxed

Properties
ρ = 6.80 g/cm3
Formation energy from raw total energies = -2239 meV per atom
V = 329.82 Å³/cell
M_tot = 0.8 μB/f.u.

Structure (CIF):
```
data_NaAc2SnO5
_chemical_formula_sum 'Na2 Ac4 Sn2 O10'
_cell_length_a 7.221
_cell_length_b 7.221
_cell_length_c 6.325
_cell_angle_alpha 90.00
_cell_angle_beta 90.00
_cell_angle_gamma 90.00
_space_group_name_H-M_alt 'P 4/m b m'
_space_group_IT_number 127
_space_group_name_Hall '-P 4 2ab'
loop_
_atom_site_label
_atom_site_fract_x
_atom_site_fract_y
_atom_site_fract_z
Na1 0.000 0.000 0.000
Ac1 0.181 0.319 0.500
Sn1 0.000 0.500 0.000
O1 0.000 0.000 0.500
O2 0.138 0.638 0.249
```

[6]
Material: NaSr2AcO4
Method: DFT, PBE-GGA
State: relaxed

Properties
ρ = 5.76 g/cm3
Formation energy from raw total energies = -2611 meV per atom
V = 141.09 Å³/cell
M_tot = 0.0 μB/f.u.

Structure (CIF):
```
data_NaSr2AcO4
_chemical_formula_sum 'Na1 Sr2 Ac1 O4'
_cell_length_a 6.226
_cell_length_b 3.748
_cell_length_c 6.350
_cell_angle_alpha 90.00
_cell_angle_beta 107.81
_cell_angle_gamma 90.00
_space_group_name_H-M_alt 'P 1 2/m 1'
_space_group_IT_number 10
loop_
_space_group_symop_operation_xyz
'x,y,z'
'-x,-y,-z'
'-x,y,-z'
'x,-y,z'
loop_
_atom_site_label
_atom_site_fract_x
_atom_site_fract_y
_atom_site_fract_z
Na1 0.000 0.000 0.000
Sr1 0.000 0.500 0.500
Sr2 0.500 0.000 0.500
Ac1 0.500 0.500 0.000
O1 0.258 0.000 0.757
O2 0.271 0.500 0.261
```